(1)
Dy2HoMgC after structural relaxation. Source: the Alexandria database, functional PBE.

- E_tot: -5.11 eV/atom
- Magnetization: 0.63 μB per cell
- Formation energy from the elements: -0.19 eV per atom
- ρ: 7.1 g/cm3
- N(E_F): 1.23 states/eV per atom
- Crystal system: tetragonal

Lattice parameters (Å, degrees): 4.9870 4.9870 4.9299 90.00 90.00 90.00
Sites, in units of the cell vectors:
Dy: 0.0000 0.5000 0.0000
Dy: 0.5000 0.0000 0.0000
Ho: 0.0000 0.0000 0.5000
Mg: 0.5000 0.5000 0.5000
C: 0.0000 0.0000 0.0000

(2)
Al2ZnBr after structural relaxation. Source: the Alexandria database, functional PBE.

- E_tot: -2.26 eV/atom
- Magnetization: 0.00 μB per cell
- ρ: 3.8 g/cm3
- Formation energy (no corrections): 0.3459 eV per atom
- N(E_F): 0.95 states/eV per atom
- Crystal system: cubic

Lattice parameters (Å, degrees): 4.9614 4.9614 4.9614 60.00 60.00 60.00
Sites, in units of the cell vectors:
Al: 0.2500 0.2500 0.2500
Al: 0.7500 0.7500 0.7500
Zn: 0.0000 0.0000 0.0000
Br: 0.5000 0.5000 0.5000

(3)
MgMoPt after structural relaxation. Source: the Alexandria database, functional PBE.

- E_tot: -6.38 eV/atom
- Magnetization: 0.00 μB per cell
- Formation energy from the elements: -0.22 eV per atom
- ρ: 10.8 g/cm3
- N(E_F): 0.54 states/eV per atom
- Crystal system: trigonal

Lattice parameters (Å, degrees): 4.4237 4.4237 5.7062 90.00 90.00 120.00
Sites, in units of the cell vectors:
Mg: 0.0000 0.0000 0.0000
Mg: 0.3333 0.6667 0.6920
Mo: 0.3333 0.6667 0.2059
Mo: 0.6667 0.3333 0.3394
Pt: 0.0000 0.0000 0.5031
Pt: 0.6667 0.3333 0.8635